Material: KLi2Mo
Method: DFT, GGA-PBE
State: relaxed

The formation enthalpy at 0 K is 0.901 eV per atom. As for the mass density: 2.795 g/cm3. As for the energy above the most stable polymorph in this dataset: 193 meV/atom. The density of states at the Fermi level is 0.77 states/eV/atom.

The structure belongs to space group Imm2 (No. 44); the cell edges are 2.7448, 5.6323 and 11.4453 Å and the angles 90.00°, 90.00° and 90.00°. The distinct sites, in fractional coordinates, are K at (0.0000, 0.0000, 0.0000), Li at (0.0000, 0.0000, 0.4928), Li at (0.0000, 0.5000, 0.7640) and Mo at (0.0000, 0.5000, 0.2124).

=====

Material: KLiMo2
Method: DFT, GGA-PBE
State: relaxed

The formation enthalpy at 0 K is 1.163 eV per atom. As for the mass density: 4.955 g/cm3. As for the energy above the most stable polymorph in this dataset: 521 meV/atom. The density of states at the Fermi level is 1.49 states/eV/atom.

The structure belongs to space group P4/mmm (No. 123); the cell edges are 3.7088, 3.7088 and 5.7964 Å and the angles 90.00°, 90.00° and 90.00°. The distinct sites, in fractional coordinates, are K at (0.0000, 0.0000, 0.0000), Li at (0.5000, 0.5000, 0.0000) and Mo at (0.0000, 0.5000, 0.5000).